(1)
First-principles (PBE) data for a relaxed structure of CuMo, as listed in Alexandria.

a = 4.3355 Å, b = 4.3355 Å, c = 4.3355 Å
α = 60.00°, β = 60.00°, γ = 60.00°
Sites, in units of the cell vectors:
Mo 0.5000 0.5000 0.5000
Cu 0.0000 0.0000 0.0000
Mo 0.2500 0.2500 0.2500
Cu 0.7500 0.7500 0.7500

(2)
First-principles (PBE) data for a relaxed structure of CuMo2, as listed in Alexandria.

a = 3.0826 Å, b = 3.0826 Å, c = 5.8334 Å
α = 90.00°, β = 90.00°, γ = 120.00°
Sites, in units of the cell vectors:
Mo 0.3333 0.6667 0.3480
Cu 0.0000 0.0000 0.0000
Mo 0.6667 0.3333 0.6520

(3)
First-principles (PBE) data for a relaxed structure of CuMo2, as listed in Alexandria.

a = 5.8573 Å, b = 5.8573 Å, c = 5.8573 Å
α = 90.00°, β = 90.00°, γ = 90.00°
Sites, in units of the cell vectors:
Mo 0.3843 0.3843 0.3843
Cu 0.0000 0.0000 0.0000
Mo 0.8843 0.1157 0.6157
Cu 0.0000 0.5000 0.5000
Mo 0.1157 0.6157 0.8843
Mo 0.6157 0.8843 0.1157
Mo 0.1157 0.8843 0.3843
Mo 0.8843 0.3843 0.1157
Cu 0.5000 0.5000 0.0000
Cu 0.5000 0.0000 0.5000
Mo 0.3843 0.1157 0.8843
Mo 0.6157 0.6157 0.6157

(4)
First-principles (PBE) data for a relaxed structure of CuMo3, as listed in Alexandria.

a = 4.3012 Å, b = 5.0570 Å, c = 3.3009 Å
α = 70.95°, β = 90.00°, γ = 115.17°
Sites, in units of the cell vectors:
Cu 0.0000 0.0000 0.0000
Mo 0.5000 0.0000 0.5000
Mo 0.2611 0.5222 0.2389
Mo 0.7389 0.4778 0.7611

Summary of energy relative to the elements in eV per atom
0.4220; 0.4795; 1.0394; 0.2486
(order as listed above)
Summary of E_tot in eV/cell
-28.2; -24.3; -90.6; -35.6
(order as listed above)
Summary of density of states at the Fermi level in states/eV/atom
0.87; 0.80; 1.08; 0.84
(order as listed above)